No. 1
Entry from Alexandria: Dy3Co2Si3 after structural relaxation (PBE).

```
16
Lattice="-3.137 -2.029 4.172 5.364 1.399 -0.793 -2.695 12.679 4.139" Properties=species:S:1:pos:R:3 pbc="T T T"
Dy 2.284 12.383 3.285
Si -0.445 12.273 5.063
Dy 0.267 9.668 4.108
Si -1.154 5.104 4.195
Si 0.687 6.946 3.324
Co -3.793 10.358 6.913
Dy -0.734 2.382 3.410
Dy -2.751 -0.333 4.233
Co -2.882 6.071 5.514
Co 3.326 1.691 0.605
Si -2.345 8.615 5.634
Si -0.022 -0.223 2.455
Si 1.878 3.435 1.885
Dy 3.028 8.880 2.141
Dy -3.495 3.170 5.377
Co 2.415 5.979 2.005
```

Values from the calculation:
Energy relative to the elements, uncorrected, eV/atom: -0.74
M_tot, μB/atom: 0.084
N(E_F), states/eV/f.u.: 5.45

***

No. 2
Entry from Alexandria: Dy3Co3Si8 after structural relaxation (PBE).

```
14
Lattice="4.034 0.000 0.000 2.017 7.361 -0.365 2.017 1.653 7.182" Properties=species:S:1:pos:R:3 pbc="T T T"
Dy 4.034 4.507 3.409
Si 4.034 7.223 1.990
Dy 4.034 1.649 1.247
Co 2.017 2.943 5.476
Dy 4.034 7.365 5.570
Co 2.017 6.071 1.341
Si 4.034 5.133 0.409
Si 2.017 2.261 3.309
Si 6.050 5.214 5.543
Si 6.050 6.753 3.509
Si 2.017 3.800 1.275
Co 2.017 0.000 0.000
Si 4.034 3.881 6.408
Si 4.034 1.791 4.828
```

Values from the calculation:
Energy relative to the elements, uncorrected, eV/atom: -0.53
M_tot, μB/atom: 0.071
N(E_F), states/eV/f.u.: 7.33
Energy above the most stable polymorph in this dataset, meV/atom: 2

***

No. 3
Entry from Alexandria: Dy5Co2Si after structural relaxation (PBE).

```
16
Lattice="-5.426 -0.359 -5.059 -0.249 -7.381 0.790 -1.643 4.531 6.894" Properties=species:S:1:pos:R:3 pbc="T T T"
Dy -2.228 2.988 4.006
Dy 0.000 0.000 0.000
Dy -5.860 -2.566 -2.609
Co -0.738 -2.858 -0.298
Co -4.937 -4.882 -3.971
Si -5.078 -3.540 0.245
Dy -2.337 -4.803 1.018
Co -2.289 -6.643 -1.233
Dy -3.106 -1.171 -0.210
Dy -2.838 -3.870 -2.134
Co -3.386 -1.097 -3.036
Dy -4.982 1.593 1.607
Si -2.241 0.330 2.380
Dy -5.091 -6.197 -1.381
Dy -4.213 -2.038 2.835
Dy -1.459 -0.644 5.235
```

Values from the calculation:
Energy relative to the elements, uncorrected, eV/atom: -0.32
M_tot, μB/atom: 0.000
N(E_F), states/eV/f.u.: 9.97

***

No. 4
Entry from Alexandria: DyCo3Si3 after structural relaxation (PBE).

```
14
Lattice="6.190 0.000 0.000 3.095 5.361 0.000 3.095 1.787 6.611" Properties=species:S:1:pos:R:3 pbc="T T T"
Co 6.879 1.555 4.147
Dy 3.095 1.787 0.052
Co 4.786 1.968 2.463
Si 8.343 3.098 4.749
Si 4.037 4.050 1.862
Co 5.501 5.592 2.463
Co 7.594 5.180 4.147
Co 4.098 3.987 4.147
Si 7.679 5.201 1.862
Si 5.526 5.677 4.749
Co 8.283 3.161 2.463
Si 6.854 1.471 1.862
Dy 9.285 5.361 6.559
Si 4.701 1.947 4.749
```

Values from the calculation:
Energy relative to the elements, uncorrected, eV/atom: -0.34
M_tot, μB/atom: 0.000
N(E_F), states/eV/f.u.: 6.76
Energy above the most stable polymorph in this dataset, meV/atom: 0